VASP calculation (PBE-GGA) on crystalline CaTl2Sn2 at its relaxed geometry. Values from VASP.

E: -3.02 eV per atom
formation enthalpy at 0 K: -0.07 eV per atom

Geometry as Quantum ESPRESSO input:
```
&SYSTEM
  ibrav = 0, nat = 5, ntyp = 3
/
ATOMIC_SPECIES
Ca 40.08 Ca.upf
Tl 204.38 Tl.upf
Sn 118.71 Sn.upf
CELL_PARAMETERS angstrom
-2.250 2.250 7.755
2.250 -2.250 7.755
2.250 2.250 -7.755
ATOMIC_POSITIONS crystal
Ca 0.000 0.000 0.000
Tl 0.400 0.400 0.000
Tl 0.600 0.600 0.000
Sn 0.250 0.750 0.500
Sn 0.750 0.250 0.500
```

=====

VASP calculation (PBE-GGA) on crystalline CaTl3Sn at its relaxed geometry. Values from VASP.

E: -2.15 eV per atom
formation enthalpy at 0 K: 0.47 eV per atom

Geometry as Quantum ESPRESSO input:
```
&SYSTEM
  ibrav = 0, nat = 5, ntyp = 3
/
ATOMIC_SPECIES
Ca 40.08 Ca.upf
Tl 204.38 Tl.upf
Sn 118.71 Sn.upf
CELL_PARAMETERS angstrom
5.846 0.000 0.000
0.000 5.846 0.000
0.000 0.000 5.846
ATOMIC_POSITIONS crystal
Ca 0.000 0.000 0.000
Tl 0.000 0.000 0.500
Tl 0.000 0.500 0.000
Tl 0.500 0.000 0.000
Sn 0.500 0.500 0.500
```

=====

VASP calculation (PBE-GGA) on crystalline Ca2TlSn4 at its relaxed geometry. Values from VASP.

E: -3.54 eV per atom
formation enthalpy at 0 K: -0.34 eV per atom

Geometry as Quantum ESPRESSO input:
```
&SYSTEM
  ibrav = 0, nat = 7, ntyp = 3
/
ATOMIC_SPECIES
Ca 40.08 Ca.upf
Tl 204.38 Tl.upf
Sn 118.71 Sn.upf
CELL_PARAMETERS angstrom
-3.210 3.210 5.043
3.210 -3.210 5.043
3.210 3.210 -5.043
ATOMIC_POSITIONS crystal
Ca 0.000 0.500 0.500
Ca 0.500 0.000 0.500
Tl 0.000 0.000 0.000
Sn 0.000 0.000 0.500
Sn 0.000 0.500 0.000
Sn 0.500 0.000 0.000
Sn 0.500 0.500 0.500
```